1.
Compound: Mn2ZnSi
Source: Alexandria
Functional: PBE
Structure: optimized geometry

Unit cell a=2.6605 b=3.4391 c=5.4276 alpha=90.00 beta=90.74 gamma=90.00
Last column: nearest neighbours and their distance in Å.
Space group P2/m (No. 10)
Unique sites:
Mn 0.0070 0.0000 0.2658 x2  4 Si 2.50-2.54, 3 Mn 2.54-2.66, 4 Zn 2.61
Zn 0.5000 0.5000 0.0000 x1  8 Mn 2.61, 2 Zn 2.66, 2 Si 2.71
Si 0.5000 0.5000 0.5000 x1  8 Mn 2.50-2.54, 2 Si 2.66, 2 Zn 2.71

Calculated values
As for the formation energy without anion corrections: -0.132 eV/atom.

***

2.
Compound: Ta2HgRu
Source: Alexandria
Functional: PBE
Structure: optimized geometry

Unit cell a=3.0861 b=3.0861 c=26.7926 alpha=90.00 beta=90.00 gamma=120.00
Last column: nearest neighbours and their distance in Å.
Space group R3m (No. 160, hexagonal axes)
Unique sites:
Ta 0.0000 0.0000 0.0000 x3  9 Ta 2.89-3.09, 3 Hg 3.02
Ta 0.0000 0.0000 0.2486 x3  3 Ru 2.58, 3 Ta 2.89
Hg 0.0000 0.0000 0.7575 x3  3 Ru 2.95, 3 Ta 3.02, 6 Hg 3.09
Ru 0.0000 0.0000 0.5121 x3  3 Ta 2.58

Calculated values
The calculation puts the formation energy at 0.186 eV per atom.

***

3.
Compound: AcPaRuRh
Source: Alexandria
Functional: PBE
Structure: optimized geometry

Unit cell a=7.1113 b=7.1113 c=7.1113 alpha=90.00 beta=90.00 gamma=90.00
Last column: nearest neighbours and their distance in Å.
Space group F-43m (No. 216)
Unique sites:
Ac 0.0000 0.0000 0.0000 x4  4 Ru 3.08, 4 Rh 3.08
Pa 0.0000 0.0000 0.5000 x4  4 Rh 3.08, 4 Ru 3.08
Ru 0.2500 0.2500 0.2500 x4  4 Ac 3.08, 4 Pa 3.08
Rh 0.2500 0.2500 0.7500 x4  4 Ac 3.08, 4 Pa 3.08

Calculated values
The calculation puts the formation energy at -0.229 eV per atom.

***

4.
Compound: Be2CdGe
Source: Alexandria
Functional: PBE
Structure: optimized geometry

Unit cell a=4.2211 b=4.2211 c=15.0212 alpha=90.00 beta=90.00 gamma=90.00
Last column: nearest neighbours and their distance in Å.
Space group I-42d (No. 122)
Unique sites:
Be 0.0915 0.2500 0.1250 x8  2 Ge 2.19, 2 Be 2.25
Cd 0.0000 0.0000 0.5000 x4  4 Be 2.76, 4 Ge 2.98
Ge 0.0000 0.0000 0.0000 x4  4 Be 2.19

Calculated values
The calculation puts the formation energy at 0.464 eV per atom. The calculation puts the energy above the lowest structure with this stoichiometry at 0 meV per atom.

***

5.
Compound: KBi2Pb
Source: Alexandria
Functional: PBE
Structure: optimized geometry

Unit cell a=9.3687 b=9.3687 c=6.8387 alpha=90.00 beta=90.00 gamma=90.00
Last column: nearest neighbours and their distance in Å.
Space group I-42d (No. 122)
Unique sites:
K 0.0000 0.0000 0.0000 x4  2 Pb 3.42, 4 Bi 3.69
Bi 0.2099 0.2500 0.6250 x8  2 Pb 3.18, 2 Bi 3.50
Pb 0.0000 0.0000 0.5000 x4  4 Bi 3.18, 2 K 3.42

Calculated values
The calculation puts the formation energy at -0.046 eV per atom.

***

6.
Compound: MnTe2P
Source: Alexandria
Functional: PBE
Structure: optimized geometry

Unit cell a=3.7770 b=3.7770 c=7.7169 alpha=90.00 beta=90.00 gamma=120.00
Last column: nearest neighbours and their distance in Å.
Space group P3m1 (No. 156)
Unique sites:
Mn 0.0000 0.0000 0.0000 x1  3 P 2.22
Te 0.0000 0.0000 0.3256 x1  1 Mn 2.51
Te 0.6667 0.3333 0.7903 x1  3 Mn 2.72, 3 P 2.97
P 0.3333 0.6667 0.0521 x1  3 Mn 2.22

Calculated values
As for the formation energy without anion corrections: -0.056 eV/atom.

***

7.
Compound: Sr3ZrSn
Source: Alexandria
Functional: PBE
Structure: optimized geometry

Unit cell a=5.9634 b=5.9634 c=5.9634 alpha=90.00 beta=90.00 gamma=90.00
Last column: nearest neighbours and their distance in Å.
Space group Pm-3m (No. 221)
Unique sites:
Sr 0.0000 0.0000 0.5000 x3  2 Zr 2.98
Zr 0.0000 0.0000 0.0000 x1  6 Sr 2.98
Sn 0.5000 0.5000 0.5000 x1  12 Sr 4.22

Calculated values
The calculation puts the formation energy at 0.783 eV per atom. The calculation puts the energy above the lowest structure with this stoichiometry at 267 meV per atom.

***

8.
Compound: TcSeCl
Source: Alexandria
Functional: PBE
Structure: optimized geometry

Unit cell a=3.1708 b=5.9905 c=14.8796 alpha=90.00 beta=90.00 gamma=90.00
Last column: nearest neighbours and their distance in Å.
Space group Fmm2 (No. 42)
Unique sites:
Tc 0.0000 0.0000 0.0000 x4  2 Se 2.38, 2 Cl 2.47
Se 0.0000 0.0000 0.3809 x4  2 Tc 2.38
Cl 0.0000 0.0000 0.6274 x4  2 Tc 2.47

Calculated values
As for the formation energy without anion corrections: 0.107 eV/atom. The calculation puts the energy above the lowest structure with this stoichiometry at 537 meV per atom.

***

Number 1: spin magnetization 4.529 μB per formula unit. Number 2: spin magnetization 0.000 μB per formula unit. Number 3: spin magnetization 0.002 μB per formula unit. Number 4: spin magnetization 0.000 μB per formula unit. Number 5: spin magnetization 0.000 μB per formula unit. Number 6: spin magnetization 0.000 μB per formula unit. Number 7: spin magnetization 0.000 μB per formula unit. Number 8: spin magnetization 0.506 μB per formula unit.